# 1
First-principles (SCAN) data for a PBEsol-optimized structure of LaTcRh2, as listed in Alexandria.

extended XYZ file:
```
4
Lattice="0.000 3.224 3.224 3.224 0.000 3.224 3.224 3.224 0.000" Properties=species:S:1:pos:R:3 pbc="T T T"
La 0.000 0.000 0.000
Tc 4.836 4.836 4.836
Rh 1.612 1.612 1.612
Rh 3.224 3.224 3.224
```

Properties
V: 16.8 Å³ per atom
Calculated density: 10.97 Mg/m³
Uncorrected energy: -36.2246 eV/atom

---

# 2
First-principles (SCAN) data for a PBEsol-optimized structure of Mg5Rh2, as listed in Alexandria.

extended XYZ file:
```
28
Lattice="8.483 0.000 0.000 -4.241 7.346 0.000 0.000 0.000 8.064" Properties=species:S:1:pos:R:3 pbc="T T T"
Mg 0.000 0.000 0.000
Mg 0.000 0.000 4.032
Mg -1.609 3.968 2.016
Mg 0.000 2.818 4.539
Mg 0.000 2.818 7.556
Mg -1.801 5.937 4.539
Mg -1.801 5.937 7.556
Mg 2.440 1.409 0.507
Mg 2.440 1.409 3.524
Mg 1.609 3.968 2.016
Mg 0.000 6.756 2.016
Mg 4.241 0.590 6.048
Mg 2.632 3.378 6.048
Mg 1.801 5.937 4.539
Mg 1.801 5.937 7.556
Mg 6.042 1.409 0.507
Mg 6.042 1.409 3.524
Mg 4.241 4.528 0.507
Mg 4.241 4.528 3.524
Mg 5.851 3.378 6.048
Rh 0.000 1.759 2.016
Rh -2.718 6.466 2.016
Rh 1.524 0.880 6.048
Rh 0.000 4.897 6.048
Rh 4.241 2.449 2.016
Rh 2.718 6.466 2.016
Rh 6.959 0.880 6.048
Rh 4.241 5.587 6.048
```

Properties
V: 17.9 Å³ per atom
Calculated density: 4.33 Mg/m³
Uncorrected energy: -13.6559 eV/atom

---

# 3
First-principles (SCAN) data for a PBEsol-optimized structure of NiH12SO10, as listed in Alexandria.

extended XYZ file:
```
96
Lattice="6.696 0.000 0.000 0.000 6.696 0.000 0.000 0.000 17.909" Properties=species:S:1:pos:R:3 pbc="T T T"
Ni 1.444 1.444 0.000
Ni 1.904 4.792 4.477
Ni 4.792 1.904 13.432
Ni 5.252 5.252 8.954
H 0.018 3.514 10.117
H 0.071 4.858 11.067
H 0.166 3.330 5.640
H 0.257 0.784 12.368
H 0.519 2.367 12.655
H 0.519 4.934 7.213
H 0.531 5.721 0.747
H 0.784 0.257 5.541
H 0.981 3.866 17.132
H 0.975 6.164 8.208
H 1.511 3.277 6.590
H 1.586 2.829 2.735
H 1.762 6.177 1.742
H 1.837 6.625 15.796
H 2.367 0.519 5.254
H 2.373 2.816 14.178
H 2.563 3.605 16.845
H 2.816 2.373 3.730
H 2.829 1.586 15.173
H 2.829 5.715 9.731
H 3.091 4.132 10.018
H 3.182 6.677 16.746
H 3.277 1.511 11.319
H 3.330 0.166 12.268
H 3.366 6.530 3.314
H 3.419 5.185 2.365
H 3.514 0.018 7.791
H 3.605 2.563 1.064
H 3.866 0.981 0.776
H 3.866 5.110 6.219
H 3.879 4.323 12.685
H 4.132 3.091 7.890
H 4.323 3.879 5.224
H 4.329 6.177 14.208
H 4.858 0.071 6.842
H 4.934 0.519 10.696
H 5.110 3.866 11.690
H 5.185 3.419 15.544
H 5.721 0.531 17.162
H 5.715 2.829 8.178
H 5.911 6.439 14.495
H 6.164 0.975 9.701
H 6.177 1.762 16.167
H 6.177 4.329 3.701
H 6.439 5.911 3.413
H 6.530 3.366 14.595
H 6.625 1.837 2.113
H 6.677 3.182 1.163
S 1.397 5.299 13.432
S 1.951 1.951 8.954
S 4.745 4.745 0.000
S 5.299 1.397 4.477
O 0.155 5.000 3.434
O 0.326 5.428 8.063
O 0.483 2.194 9.059
O 0.519 2.436 1.554
O 0.729 5.845 12.221
O 0.851 5.967 14.642
O 0.912 3.867 6.032
O 1.154 3.831 13.536
O 1.267 6.370 0.891
O 1.652 3.193 16.865
O 1.696 6.541 5.521
O 2.080 3.022 3.586
O 2.194 0.483 8.850
O 2.436 0.519 16.354
O 2.497 2.619 7.744
O 2.619 2.497 10.165
O 2.829 5.783 2.923
O 2.865 5.542 13.327
O 3.022 2.080 14.323
O 3.193 1.652 1.044
O 3.503 5.044 9.998
O 3.673 4.615 5.368
O 3.831 1.154 4.373
O 3.867 0.912 11.877
O 4.077 4.199 1.210
O 4.199 4.077 16.699
O 4.260 6.177 7.400
O 4.501 6.213 17.804
O 4.615 3.673 12.540
O 5.000 0.155 14.475
O 5.044 3.503 7.911
O 5.428 0.326 9.846
O 5.542 2.865 4.582
O 5.783 2.829 14.986
O 5.845 0.729 5.687
O 5.967 0.851 3.267
O 6.177 4.260 10.509
O 6.213 4.501 0.104
O 6.370 1.267 17.017
O 6.541 1.696 12.388
```

Properties
V: 8.4 Å³ per atom
Calculated density: 2.17 Mg/m³
Uncorrected energy: -6.5968 eV/atom

---

# 4
First-principles (SCAN) data for a PBEsol-optimized structure of CaLaBe2, as listed in Alexandria.

extended XYZ file:
```
4
Lattice="-1.752 2.471 4.729 1.752 -2.471 4.729 1.752 2.471 -4.729" Properties=species:S:1:pos:R:3 pbc="T T T"
Ca 0.000 0.000 0.000
La 0.000 2.471 1.809
Be 1.752 0.000 2.698
Be 0.000 0.000 3.925
```

Properties
V: 20.5 Å³ per atom
Calculated density: 3.99 Mg/m³
Uncorrected energy: -15.0917 eV/atom

---

# 5
First-principles (SCAN) data for a PBEsol-optimized structure of Cd2SiAg, as listed in Alexandria.

extended XYZ file:
```
4
Lattice="4.617 -1.502 0.000 4.617 1.502 0.000 -1.163 0.000 5.333" Properties=species:S:1:pos:R:3 pbc="T T T"
Cd 0.000 0.000 0.000
Cd 1.372 0.000 3.901
Si 3.988 0.000 2.498
Ag 6.654 0.000 1.365
```

Properties
V: 18.5 Å³ per atom
Calculated density: 8.10 Mg/m³
E_form (uncorrected): 0.263 eV per atom
Uncorrected energy: -25.2895 eV/atom

---

# 6
First-principles (SCAN) data for a PBEsol-optimized structure of KFe2Os, as listed in Alexandria.

extended XYZ file:
```
4
Lattice="1.349 0.779 9.824 -1.349 0.779 9.824 0.000 -1.558 9.824" Properties=species:S:1:pos:R:3 pbc="T T T"
K 0.000 0.000 0.000
Fe 0.000 0.000 6.946
Fe 0.000 0.000 22.526
Os 0.000 0.000 14.736
```

Properties
V: 15.5 Å³ per atom
Calculated density: 9.14 Mg/m³
Uncorrected energy: -28.2625 eV/atom

---

# 7
First-principles (SCAN) data for a PBEsol-optimized structure of AlPPt, as listed in Alexandria.

extended XYZ file:
```
3
Lattice="0.000 2.871 2.871 2.871 0.000 2.871 2.871 2.871 0.000" Properties=species:S:1:pos:R:3 pbc="T T T"
Al 0.000 0.000 0.000
P 4.306 4.306 4.306
Pt 2.871 2.871 2.871
```

Properties
V: 15.8 Å³ per atom
Calculated density: 8.88 Mg/m³
Uncorrected energy: -29.7528 eV/atom

---

# 8
First-principles (SCAN) data for a PBEsol-optimized structure of LiLaNdSbO6, as listed in Alexandria.

extended XYZ file:
```
20
Lattice="5.532 0.000 0.000 0.024 5.757 0.000 0.092 0.003 7.876" Properties=species:S:1:pos:R:3 pbc="T T T"
Li 0.000 0.000 0.000
Li 2.824 2.880 3.938
La 0.163 2.560 5.917
La 5.485 3.201 1.959
Nd 2.766 5.416 5.899
Nd 2.882 0.344 1.978
Sb 0.046 0.001 3.938
Sb 2.778 2.879 0.000
O 0.614 5.585 2.029
O 1.135 4.120 4.371
O 1.267 4.000 7.497
O 1.665 1.096 4.325
O 1.829 1.220 7.458
O 2.276 2.678 1.916
O 3.372 3.082 5.960
O 3.820 4.541 0.419
O 3.983 4.664 3.551
O 4.382 1.760 0.380
O 4.514 1.640 3.505
O 5.035 0.175 5.847
```

Properties
V: 12.5 Å³ per atom
Calculated density: 6.72 Mg/m³
E_form (uncorrected): -2.881 eV per atom
Uncorrected energy: -19.2532 eV/atom

---

# 9
First-principles (SCAN) data for a PBEsol-optimized structure of RbCS2Cl, as listed in Alexandria.

extended XYZ file:
```
5
Lattice="6.350 0.000 0.000 0.000 6.350 0.000 0.000 0.000 6.091" Properties=species:S:1:pos:R:3 pbc="T T T"
Rb 0.000 0.000 0.000
C 3.175 3.175 3.046
S 0.000 3.175 0.000
S 3.175 0.000 0.000
Cl 0.000 0.000 3.046
```

Properties
V: 49.1 Å³ per atom
Calculated density: 1.33 Mg/m³
E_form (uncorrected): 2.024 eV per atom
Uncorrected energy: -9.5907 eV/atom

---

# 10
First-principles (SCAN) data for a PBEsol-optimized structure of SnHgP2S, as listed in Alexandria.

extended XYZ file:
```
5
Lattice="4.881 0.000 0.000 0.000 4.881 0.000 0.000 0.000 5.008" Properties=species:S:1:pos:R:3 pbc="T T T"
Sn 0.000 0.000 0.000
Hg 2.441 2.441 2.504
P 0.000 2.441 2.504
P 2.441 0.000 2.504
S 2.441 2.441 0.000
```

Properties
V: 23.9 Å³ per atom
Calculated density: 5.75 Mg/m³
E_form (uncorrected): 1.041 eV per atom
Uncorrected energy: -25.8611 eV/atom

---

# 11
First-principles (SCAN) data for a PBEsol-optimized structure of ScBe2, as listed in Alexandria.

extended XYZ file:
```
3
Lattice="-1.396 1.414 4.845 1.396 -1.414 4.845 1.396 1.414 -4.845" Properties=species:S:1:pos:R:3 pbc="T T T"
Sc 0.000 0.000 0.000
Be 0.000 0.000 2.925
Be 0.000 0.000 6.765
```

Properties
V: 12.8 Å³ per atom
Calculated density: 2.73 Mg/m³
Uncorrected energy: -7.5720 eV/atom

---

# 12
First-principles (SCAN) data for a PBEsol-optimized structure of MnMo2Au, as listed in Alexandria.

extended XYZ file:
```
4
Lattice="-1.972 1.972 3.772 1.972 -1.972 3.772 1.972 1.972 -3.772" Properties=species:S:1:pos:R:3 pbc="T T T"
Mn 0.000 0.000 0.000
Mo 0.000 0.000 3.772
Mo 0.000 1.972 1.886
Au 1.972 0.000 1.886
```

Properties
V: 14.7 Å³ per atom
Calculated density: 12.56 Mg/m³
Uncorrected energy: -39.1855 eV/atom

---

Question: The highest V belongs to which entry?
Answer: RbCS2Cl

---

What did the ninth record say?
First-principles (SCAN) data for a PBEsol-optimized structure of RbCS2Cl, as listed in Alexandria.

extended XYZ file:
```
5
Lattice="6.350 0.000 0.000 0.000 6.350 0.000 0.000 0.000 6.091" Properties=species:S:1:pos:R:3 pbc="T T T"
Rb 0.000 0.000 0.000
C 3.175 3.175 3.046
S 0.000 3.175 0.000
S 3.175 0.000 0.000
Cl 0.000 0.000 3.046
```

Properties
V: 49.1 Å³ per atom
Calculated density: 1.33 Mg/m³
E_form (uncorrected): 2.024 eV per atom
Uncorrected energy: -9.5907 eV/atom